The following is a GGA-PBE calculation of a relaxed structure of FeSiIr, from Alexandria via LeMat-Bulk.

a = 5.048 Å, b = 5.048 Å, c = 5.048 Å
α = 147.21°, β = 147.21°, γ = 47.06°
Site moments in Bohr magnetons follow the coordinates.
Positions (direct):
Fe1 0.018 0.018 0.000  2.02
Si1 0.661 0.661 0.000  -0.05
Ir1 0.321 0.321 0.000  0.22

Results
formation energy (no corrections): -7.58 kcal/mol of atoms
symmetry: I4mm (107)